The following is a PBE calculation of a relaxed Rb4Nd3ErS8 crystal, from Alexandria. Values from VASP.

Geometry as Quantum ESPRESSO input:
```
&SYSTEM
  ibrav = 0, nat = 16, ntyp = 4
/
ATOMIC_SPECIES
Rb 85.47 Rb.upf
Nd 144.24 Nd.upf
Er 167.26 Er.upf
S 32.06 S.upf
CELL_PARAMETERS angstrom
-4.0063 -3.1021 -6.6513
7.7365 0.2692 -4.7855
0.0785 -4.2595 7.1948
ATOMIC_POSITIONS crystal
Rb 0.5000 0.0000 0.0000
Rb 0.5000 0.0000 0.5000
Rb 0.0000 0.0000 0.0000
Rb 0.0000 0.0000 0.5000
Nd 0.5000 0.5000 0.0000
Nd 0.5000 0.5000 0.5000
Nd 0.0000 0.5000 0.5000
Er 0.0000 0.5000 0.0000
S 0.2268 0.6945 0.9677
S 0.2269 0.6945 0.4537
S 0.2671 0.3014 0.5342
S 0.7409 0.6945 0.9677
S 0.2591 0.3055 0.0323
S 0.7329 0.6986 0.4658
S 0.7731 0.3055 0.5463
S 0.7732 0.3055 0.0323
```

Summary:
ΔE_f (raw) = -1827 meV per atom
Symmetry = R-3m (166)
Density of states at the Fermi level = 0.00 states/eV/atom